Material: NaAl2MoO6
Method: DFT, PBE+U
State: relaxed

Calculated values
Final energy ... -136.9 eV per cell

CIF file:
```
data_NaAl2MoO6
_symmetry_space_group_name_H-M 'P 1'
_symmetry_Int_Tables_number 1
_cell_length_a 6.052
_cell_length_b 7.043
_cell_length_c 7.043
_cell_angle_alpha 101.13
_cell_angle_beta 74.54
_cell_angle_gamma 74.54
loop_
_symmetry_equiv_pos_as_xyz
'x,y,z'
loop_
_atom_site_label
_atom_site_fract_x
_atom_site_fract_y
_atom_site_fract_z
Mo1 0.750 0.802 0.198
Mo2 0.250 0.198 0.802
O1 0.057 0.631 0.170
O2 0.697 0.774 0.944
O3 0.303 0.226 0.056
O4 0.541 0.566 0.663
O5 0.943 0.369 0.830
O6 0.041 0.663 0.566
O7 0.459 0.434 0.337
O8 0.959 0.337 0.434
O9 0.197 0.944 0.774
O10 0.443 0.830 0.369
O11 0.803 0.056 0.226
O12 0.557 0.170 0.631
Na1 0.750 0.101 0.899
Na2 0.250 0.899 0.101
Al1 0.673 0.301 0.442
Al2 0.173 0.442 0.301
Al3 0.827 0.558 0.699
Al4 0.327 0.699 0.558
```

Material: NaAlMo2O8
Method: DFT, PBE+U
State: relaxed

Calculated values
Final energy ... -164.9 eV per cell

CIF file:
```
data_NaAlMo2O8
_symmetry_space_group_name_H-M 'P 1'
_symmetry_Int_Tables_number 1
_cell_length_a 5.564
_cell_length_b 5.564
_cell_length_c 13.766
_cell_angle_alpha 89.70
_cell_angle_beta 89.70
_cell_angle_gamma 57.29
loop_
_symmetry_equiv_pos_as_xyz
'x,y,z'
loop_
_atom_site_label
_atom_site_fract_x
_atom_site_fract_y
_atom_site_fract_z
O1 0.748 0.583 0.735
O2 0.104 0.751 0.890
O3 0.751 0.104 0.390
O4 0.065 0.239 0.921
O5 0.391 0.796 0.041
O6 0.609 0.204 0.959
O7 0.239 0.065 0.421
O8 0.417 0.252 0.765
O9 0.204 0.609 0.459
O10 0.252 0.417 0.265
O11 0.796 0.391 0.541
O12 0.896 0.249 0.110
O13 0.583 0.748 0.235
O14 0.935 0.761 0.079
O15 0.249 0.896 0.610
O16 0.761 0.935 0.579
Na1 0.068 0.932 0.250
Na2 0.932 0.068 0.750
Mo1 0.361 0.297 0.384
Mo2 0.639 0.703 0.616
Mo3 0.703 0.639 0.116
Mo4 0.297 0.361 0.884
Al1 0.000 0.000 0.500
Al2 0.000 0.000 0.000
```

Material: NaAlMo2O8
Method: DFT, PBE+U
State: relaxed

Calculated values
Final energy ... -82.4 eV per cell

CIF file:
```
data_NaAlMo2O8
_symmetry_space_group_name_H-M 'P 1'
_symmetry_Int_Tables_number 1
_cell_length_a 5.632
_cell_length_b 5.632
_cell_length_c 6.437
_cell_angle_alpha 90.00
_cell_angle_beta 90.00
_cell_angle_gamma 120.00
loop_
_symmetry_equiv_pos_as_xyz
'x,y,z'
loop_
_atom_site_label
_atom_site_fract_x
_atom_site_fract_y
_atom_site_fract_z
Mo1 0.333 0.667 0.738
Mo2 0.667 0.333 0.262
O1 0.312 0.156 0.177
O2 0.844 0.156 0.177
O3 0.844 0.688 0.177
O4 0.156 0.312 0.823
O5 0.688 0.844 0.823
O6 0.667 0.333 0.533
O7 0.333 0.667 0.467
O8 0.156 0.844 0.823
Na1 0.000 0.000 0.500
Al1 0.000 0.000 0.000
```

> The highest final energy belongs to which entry?

number 3